Entry 1:
The following is a GGA-PBE calculation of Tb4Tl2Co after structural relaxation, from Alexandria via LeMat-Bulk.

a b c (Å): 6.555 3.684 8.853
angles (deg): 90.00 109.35 90.00
Fractional positions:
Tb: 0.122 0.000 0.269
Tb: 0.356 0.500 0.654
Tb: 0.644 0.500 0.346
Tb: 0.878 0.000 0.731
Tl: 0.256 0.500 0.996
Tl: 0.744 0.500 0.004
Co: 0.500 0.000 0.500

Calculated values
The calculation puts the total energy at -4.497 eV/atom. Its formation energy is -160.3 meV per atom. For the density of states at the Fermi level, the calculation gives 5.87 states/eV/f.u. For the volume, the calculation gives 201.7 Å³/cell.

Entry 2:
The following is a GGA-PBE calculation of Li2ZnPt after structural relaxation, from Alexandria via LeMat-Bulk.

a b c (Å): 3.764 3.764 7.845
angles (deg): 90.00 90.00 90.00
Fractional positions:
Li: 0.000 0.500 0.250
Li: 0.000 0.500 0.750
Li: 0.500 0.000 0.250
Li: 0.500 0.000 0.750
Zn: 0.000 0.000 0.000
Zn: 0.500 0.500 0.500
Pt: 0.000 0.000 0.500
Pt: 0.500 0.500 0.000

Calculated values
The calculation puts the total energy at -3.275 eV/atom. Its formation energy is -489.7 meV per atom. For the density of states at the Fermi level, the calculation gives 1.44 states/eV/f.u. For the volume, the calculation gives 111.1 Å³/cell.